1.
A plane-wave DFT calculation with GGA-PBE was carried out for a relaxed structure of Ta2InCl.

CIF file:
```
data_Ta2InCl
_chemical_formula_sum 'Ta4 In2 Cl2'
_space_group_name_H-M_alt 'A m m 2'
_space_group_IT_number 38
_cell_length_a 4.707
_cell_length_b 2.944
_cell_length_c 11.438
_cell_angle_alpha 90.00
_cell_angle_beta 90.00
_cell_angle_gamma 90.00
loop_
_space_group_symop_operation_xyz
'x,y,z'
'-x,-y,z'
'-x,y,z'
'x,-y,z'
'x,y+1/2,z+1/2'
'-x,-y+1/2,z+1/2'
'-x,y+1/2,z+1/2'
'x,-y+1/2,z+1/2'
loop_
_atom_site_label
_atom_site_fract_x
_atom_site_fract_y
_atom_site_fract_z
Ta1 0.000 0.000 0.000
Ta2 0.500 0.000 0.387
In1 0.000 0.000 0.743
Cl1 0.500 0.000 0.065
```

Its total magnetization is 0.000 μB per atom. The total energy comes out at -55.1 eV/cell. The energy above the lowest structure with this stoichiometry comes out at 314 meV per atom. As for the uncorrected formation energy: 0.186 eV/atom.


2.
A plane-wave DFT calculation with GGA-PBE was carried out for a relaxed structure of Cs3AuCl2.

CIF file:
```
data_Cs3AuCl2
_chemical_formula_sum 'Cs6 Au2 Cl4'
_space_group_name_H-M_alt 'I m m m'
_space_group_IT_number 71
_space_group_name_Hall '-I 2 2'
_cell_length_a 5.056
_cell_length_b 7.190
_cell_length_c 15.313
_cell_angle_alpha 90.00
_cell_angle_beta 90.00
_cell_angle_gamma 90.00
loop_
_atom_site_label
_atom_site_fract_x
_atom_site_fract_y
_atom_site_fract_z
Cs1 0.000 0.000 0.000
Cs2 0.000 0.000 0.325
Au1 0.000 0.500 0.000
Cl1 0.000 0.500 0.334
```

Its total magnetization is 0.000 μB per atom. The total energy comes out at -36.0 eV/cell. The energy above the lowest structure with this stoichiometry comes out at 0 meV per atom. As for the uncorrected formation energy: -1.414 eV/atom.


3.
A plane-wave DFT calculation with GGA-PBE was carried out for a relaxed structure of Ca3TcGe.

CIF file:
```
data_Ca3TcGe
_chemical_formula_sum 'Ca3 Tc1 Ge1'
_space_group_name_H-M_alt 'P m -3 m'
_space_group_IT_number 221
_space_group_name_Hall '-P 4 2 3'
_cell_length_a 5.387
_cell_length_b 5.387
_cell_length_c 5.387
_cell_angle_alpha 90.00
_cell_angle_beta 90.00
_cell_angle_gamma 90.00
loop_
_atom_site_label
_atom_site_fract_x
_atom_site_fract_y
_atom_site_fract_z
Ca1 0.000 0.000 0.500
Tc1 0.000 0.000 0.000
Ge1 0.500 0.500 0.500
```

Its total magnetization is 0.530 μB per atom. The total energy comes out at -17.9 eV/cell. The energy above the lowest structure with this stoichiometry comes out at 5 meV per atom.


4.
A plane-wave DFT calculation with GGA-PBE was carried out for a relaxed structure of BaSr2Ag.

CIF file:
```
data_BaSr2Ag
_chemical_formula_sum 'Ba4 Sr8 Ag4'
_space_group_name_H-M_alt 'I -4 2 d'
_space_group_IT_number 122
_space_group_name_Hall 'I -4 2bw'
_cell_length_a 10.359
_cell_length_b 10.359
_cell_length_c 7.207
_cell_angle_alpha 90.00
_cell_angle_beta 90.00
_cell_angle_gamma 90.00
loop_
_atom_site_label
_atom_site_fract_x
_atom_site_fract_y
_atom_site_fract_z
Ba1 0.000 0.000 0.000
Sr1 0.159 0.250 0.625
Ag1 0.000 0.000 0.500
```

Its total magnetization is 0.000 μB per atom. The total energy comes out at -32.7 eV/cell. The energy above the lowest structure with this stoichiometry comes out at 149 meV per atom.


5.
A plane-wave DFT calculation with GGA-PBE was carried out for a relaxed structure of FeRh2Se.

CIF file:
```
data_FeRh2Se
_chemical_formula_sum 'Fe2 Rh4 Se2'
_space_group_name_H-M_alt 'I m m m'
_space_group_IT_number 71
_space_group_name_Hall '-I 2 2'
_cell_length_a 3.558
_cell_length_b 4.103
_cell_length_c 7.954
_cell_angle_alpha 90.00
_cell_angle_beta 90.00
_cell_angle_gamma 90.00
loop_
_atom_site_label
_atom_site_fract_x
_atom_site_fract_y
_atom_site_fract_z
Fe1 0.000 0.000 0.000
Rh1 0.000 0.500 0.225
Se1 0.000 0.000 0.500
```

Its total magnetization is 0.860 μB per atom. The total energy comes out at -52.6 eV/cell. As for the uncorrected formation energy: 0.092 eV/atom.


6.
A plane-wave DFT calculation with GGA-PBE was carried out for a relaxed structure of CaNd12Y7.

CIF file:
```
data_CaNd12Y7
_chemical_formula_sum 'Ca2 Nd24 Y14'
_space_group_name_H-M_alt 'I m -3'
_space_group_IT_number 204
_space_group_name_Hall '-I 2 2 3'
_cell_length_a 11.687
_cell_length_b 11.687
_cell_length_c 11.687
_cell_angle_alpha 90.00
_cell_angle_beta 90.00
_cell_angle_gamma 90.00
loop_
_atom_site_label
_atom_site_fract_x
_atom_site_fract_y
_atom_site_fract_z
Ca1 0.000 0.000 0.000
Nd1 0.000 0.262 0.262
Y1 0.000 0.000 0.500
Y2 0.250 0.250 0.250
```

Its total magnetization is 0.000 μB per atom. The total energy comes out at -183.0 eV/cell.